Below is crystalline Nb4InPC2 at its relaxed geometry, with properties calculated at the PBE level.

a = 3.256 Å, b = 3.256 Å, c = 13.054 Å
α = 90.00°, β = 90.00°, γ = 120.00°
Atoms (fractional coordinates):
Nb1 0.000 0.000 0.134
Nb2 0.000 0.000 0.866
Nb3 0.333 0.667 0.315
Nb4 0.333 0.667 0.685
In1 0.000 0.000 0.500
P1 0.333 0.667 0.000
C1 0.667 0.333 0.229
C2 0.667 0.333 0.771

## Properties
For the total energy, the calculation gives -71.7 eV for the cell shown. Its volume is 14.98 Å³/atom. The space group is No. 187.